1.
First-principles (GGA-PBE) data for a relaxed structure of DyY2O, as listed in Alexandria via LeMat-Bulk.

a = 8.9456 Å, b = 8.9456 Å, c = 8.9456 Å
α = 22.73°, β = 22.73°, γ = 22.73°
Positions (direct):
1 Dy 0.0000 0.0000 0.0000
2 Y 0.2193 0.2193 0.2193
3 Y 0.7807 0.7807 0.7807
4 O 0.5000 0.5000 0.5000

Summary:
The formation energy from raw total energies comes out at -1.35 eV/atom. As for the symmetry: R-3m, No. 166. Its total energy is -6.970 eV/atom. The value obtained for the mass density is 6.309 g/cm3. The value obtained for the distance to the lowest polymorph of the same formula is 0.000 eV/atom. For the density of states at the Fermi level, the calculation gives 4.826 states/eV/cell. Its size of the total moment is 0.0 μB/cell.

---

2.
First-principles (GGA-PBE) data for a relaxed structure of DyYO3, as listed in Alexandria via LeMat-Bulk.

a = 6.4428 Å, b = 6.4428 Å, c = 12.7887 Å
α = 90.00°, β = 90.00°, γ = 120.00°
Positions (direct):
1 Dy 0.0000 0.3330 0.0000
2 Dy 0.0000 0.6670 0.5000
3 Dy 0.3330 0.0000 0.0000
4 Dy 0.3330 0.3330 0.5000
5 Dy 0.6670 0.0000 0.5000
6 Dy 0.6670 0.6670 0.0000
7 Y 0.0000 0.0000 0.2682
8 Y 0.0000 0.0000 0.7682
9 Y 0.3333 0.6667 0.2357
10 Y 0.3333 0.6667 0.7357
11 Y 0.6667 0.3333 0.2357
12 Y 0.6667 0.3333 0.7357
13 O 0.0000 0.0000 0.4645
14 O 0.0000 0.0000 0.9645
15 O 0.0000 0.3047 0.1741
16 O 0.0000 0.3658 0.8279
17 O 0.0000 0.6342 0.3279
18 O 0.0000 0.6953 0.6741
19 O 0.3047 0.0000 0.1741
20 O 0.3047 0.3047 0.6741
21 O 0.3333 0.6667 0.0288
22 O 0.3333 0.6667 0.5288
23 O 0.3658 0.0000 0.8279
24 O 0.3658 0.3658 0.3279
25 O 0.6342 0.0000 0.3279
26 O 0.6342 0.6342 0.8279
27 O 0.6667 0.3333 0.0288
28 O 0.6667 0.3333 0.5288
29 O 0.6953 0.0000 0.6741
30 O 0.6953 0.6953 0.1741

Summary:
The formation energy from raw total energies comes out at -3.48 eV/atom. As for the symmetry: P6_3cm, No. 185. Its total energy is -8.665 eV/atom. The value obtained for the mass density is 6.489 g/cm3. For the density of states at the Fermi level, the calculation gives 0.000 states/eV/cell. Its size of the total moment is 0.0 μB/cell.

---

3.
First-principles (GGA-PBE) data for a relaxed structure of DyY3O6, as listed in Alexandria via LeMat-Bulk.

a = 9.2621 Å, b = 9.2621 Å, c = 10.6931 Å
α = 125.26°, β = 125.26°, γ = 70.54°
Positions (direct):
1 Dy 0.0000 0.0000 0.0000
2 Dy 0.5003 0.4997 0.0000
3 Dy 0.7501 0.1846 0.2173
4 Dy 0.8154 0.2499 0.7827
5 Y 0.0324 0.4671 0.2498
6 Y 0.0329 0.4673 0.7501
7 Y 0.0652 0.9348 0.5000
8 Y 0.2502 0.6847 0.7175
9 Y 0.2827 0.2173 0.4674
10 Y 0.2827 0.2173 0.9675
11 Y 0.3153 0.7498 0.2825
12 Y 0.5327 0.9671 0.2499
13 Y 0.5329 0.9676 0.7502
14 Y 0.5655 0.4345 0.5000
15 Y 0.7827 0.7173 0.0325
16 Y 0.7827 0.7173 0.5326
17 O 0.0010 0.2388 0.2610
18 O 0.0210 0.1965 0.7076
19 O 0.0439 0.7383 0.7930
20 O 0.0641 0.6953 0.2386
21 O 0.0748 0.2273 0.0215
22 O 0.2613 0.4985 0.0208
23 O 0.2617 0.9561 0.2070
24 O 0.2728 0.4248 0.7194
25 O 0.2934 0.0100 0.5219
26 O 0.3035 0.4784 0.4892
27 O 0.3047 0.9359 0.7614
28 O 0.4904 0.2066 0.2186
29 O 0.5015 0.7387 0.9792
30 O 0.5216 0.6965 0.5108
31 O 0.5446 0.2383 0.9901
32 O 0.5646 0.1951 0.5211
33 O 0.5752 0.7272 0.2806
34 O 0.7612 0.9990 0.7390
35 O 0.7617 0.4554 0.0099
36 O 0.7727 0.9252 0.9785
37 O 0.7934 0.5096 0.7814
38 O 0.8035 0.9790 0.2924
39 O 0.8049 0.4354 0.4789
40 O 0.9900 0.7066 0.4781

Summary:
The formation energy from raw total energies comes out at -3.56 eV/atom. As for the symmetry: C2, No. 5. Its total energy is -8.937 eV/atom. The value obtained for the mass density is 5.704 g/cm3. The value obtained for the distance to the lowest polymorph of the same formula is 0.000 eV/atom. For the density of states at the Fermi level, the calculation gives 0.000 states/eV/cell. Its size of the total moment is 0.0 μB/cell.

---

4.
First-principles (GGA-PBE) data for a relaxed structure of DyY2O, as listed in Alexandria via LeMat-Bulk.

a = 3.1954 Å, b = 3.1954 Å, c = 8.7328 Å
α = 90.00°, β = 90.00°, γ = 90.00°
Positions (direct):
1 Dy 0.0000 0.0000 0.0000
2 Y 0.5000 0.5000 0.3240
3 Y 0.5000 0.5000 0.6760
4 O 0.0000 0.0000 0.5000

Summary:
The formation energy from raw total energies comes out at -0.82 eV/atom. As for the symmetry: P4/mmm, No. 123. Its total energy is -6.443 eV/atom. The value obtained for the mass density is 6.636 g/cm3. The value obtained for the distance to the lowest polymorph of the same formula is 0.527 eV/atom. For the density of states at the Fermi level, the calculation gives 5.318 states/eV/cell. Its size of the total moment is 0.0 μB/cell.

---

5.
First-principles (GGA-PBE) data for a relaxed structure of Dy3Zn5O12, as listed in Alexandria via LeMat-Bulk.

a = 10.8555 Å, b = 10.8555 Å, c = 10.8555 Å
α = 109.47°, β = 109.47°, γ = 109.47°
Positions (direct):
1 Dy 0.1250 0.2500 0.3750
2 Dy 0.1250 0.3750 0.7500
3 Dy 0.2500 0.3750 0.1250
4 Dy 0.2500 0.8750 0.6250
5 Dy 0.3750 0.1250 0.2500
6 Dy 0.3750 0.7500 0.1250
7 Dy 0.6250 0.2500 0.8750
8 Dy 0.6250 0.8750 0.7500
9 Dy 0.7500 0.1250 0.3750
10 Dy 0.7500 0.6250 0.8750
11 Dy 0.8750 0.6250 0.2500
12 Dy 0.8750 0.7500 0.6250
13 Zn 0.0000 0.0000 0.0000
14 Zn 0.0000 0.0000 0.5000
15 Zn 0.0000 0.5000 0.0000
16 Zn 0.0000 0.5000 0.5000
17 Zn 0.1250 0.7500 0.8750
18 Zn 0.1250 0.8750 0.2500
19 Zn 0.2500 0.1250 0.8750
20 Zn 0.2500 0.6250 0.3750
21 Zn 0.3750 0.2500 0.6250
22 Zn 0.3750 0.6250 0.7500
23 Zn 0.5000 0.0000 0.0000
24 Zn 0.5000 0.0000 0.5000
25 Zn 0.5000 0.5000 0.0000
26 Zn 0.5000 0.5000 0.5000
27 Zn 0.6250 0.3750 0.2500
28 Zn 0.6250 0.7500 0.3750
29 Zn 0.7500 0.3750 0.6250
30 Zn 0.7500 0.8750 0.1250
31 Zn 0.8750 0.1250 0.7500
32 Zn 0.8750 0.2500 0.1250
33 O 0.0372 0.2114 0.1287
34 O 0.0372 0.3258 0.9086
35 O 0.0828 0.7114 0.6742
36 O 0.0828 0.8713 0.4086
37 O 0.0914 0.6287 0.4172
38 O 0.0914 0.9628 0.6742
39 O 0.1287 0.0372 0.2114
40 O 0.1287 0.5914 0.9172
41 O 0.1742 0.2114 0.5828
42 O 0.1742 0.4628 0.5914
43 O 0.2114 0.1287 0.0372
44 O 0.2114 0.5828 0.1742
45 O 0.2886 0.3258 0.9172
46 O 0.2886 0.4628 0.3713
47 O 0.3258 0.9086 0.0372
48 O 0.3258 0.9172 0.2886
49 O 0.3713 0.2886 0.4628
50 O 0.3713 0.5828 0.9086
51 O 0.4086 0.0828 0.8713
52 O 0.4086 0.8258 0.5372
53 O 0.4172 0.0914 0.6287
54 O 0.4172 0.8258 0.7886
55 O 0.4628 0.3713 0.2886
56 O 0.4628 0.5914 0.1742
57 O 0.5372 0.4086 0.8258
58 O 0.5372 0.6287 0.7114
59 O 0.5828 0.1742 0.2114
60 O 0.5828 0.9086 0.3713
61 O 0.5914 0.1742 0.4628
62 O 0.5914 0.9172 0.1287
63 O 0.6287 0.4172 0.0914
64 O 0.6287 0.7114 0.5372
65 O 0.6742 0.0828 0.7114
66 O 0.6742 0.0914 0.9628
67 O 0.7114 0.5372 0.6287
68 O 0.7114 0.6742 0.0828
69 O 0.7886 0.4172 0.8258
70 O 0.7886 0.8713 0.9628
71 O 0.8258 0.5372 0.4086
72 O 0.8258 0.7886 0.4172
73 O 0.8713 0.4086 0.0828
74 O 0.8713 0.9628 0.7886
75 O 0.9086 0.0372 0.3258
76 O 0.9086 0.3713 0.5828
77 O 0.9172 0.1287 0.5914
78 O 0.9172 0.2886 0.3258
79 O 0.9628 0.6742 0.0914
80 O 0.9628 0.7886 0.8713

Summary:
The formation energy from raw total energies comes out at -1.84 eV/atom. As for the symmetry: Ia-3d, No. 230. Its total energy is -5.827 eV/atom. The value obtained for the mass density is 6.789 g/cm3. For the density of states at the Fermi level, the calculation gives 63.762 states/eV/cell. Its size of the total moment is 11.3 μB/cell.

---

6.
First-principles (GGA-PBE) data for a relaxed structure of Dy12Zn3O5, as listed in Alexandria via LeMat-Bulk.

a = 13.2404 Å, b = 13.2404 Å, c = 13.2404 Å
α = 109.47°, β = 109.47°, γ = 109.47°
Positions (direct):
1 Dy 0.0149 0.2019 0.1110
2 Dy 0.0149 0.3130 0.9038
3 Dy 0.0908 0.7019 0.6870
4 Dy 0.0908 0.8890 0.4038
5 Dy 0.0962 0.6110 0.4092
6 Dy 0.0962 0.9851 0.6870
7 Dy 0.1110 0.0149 0.2019
8 Dy 0.1110 0.5962 0.9092
9 Dy 0.1870 0.2019 0.5908
10 Dy 0.1870 0.4851 0.5962
11 Dy 0.2019 0.1110 0.0149
12 Dy 0.2019 0.5908 0.1870
13 Dy 0.2981 0.3130 0.9092
14 Dy 0.2981 0.4851 0.3890
15 Dy 0.3130 0.9038 0.0149
16 Dy 0.3130 0.9092 0.2981
17 Dy 0.3890 0.2981 0.4851
18 Dy 0.3890 0.5908 0.9038
19 Dy 0.4038 0.0908 0.8890
20 Dy 0.4038 0.8130 0.5149
21 Dy 0.4092 0.0962 0.6110
22 Dy 0.4092 0.8130 0.7981
23 Dy 0.4851 0.3890 0.2981
24 Dy 0.4851 0.5962 0.1870
25 Dy 0.5149 0.4038 0.8130
26 Dy 0.5149 0.6110 0.7019
27 Dy 0.5908 0.1870 0.2019
28 Dy 0.5908 0.9038 0.3890
29 Dy 0.5962 0.1870 0.4851
30 Dy 0.5962 0.9092 0.1110
31 Dy 0.6110 0.4092 0.0962
32 Dy 0.6110 0.7019 0.5149
33 Dy 0.6870 0.0908 0.7019
34 Dy 0.6870 0.0962 0.9851
35 Dy 0.7019 0.5149 0.6110
36 Dy 0.7019 0.6870 0.0908
37 Dy 0.7981 0.4092 0.8130
38 Dy 0.7981 0.8890 0.9851
39 Dy 0.8130 0.5149 0.4038
40 Dy 0.8130 0.7981 0.4092
41 Dy 0.8890 0.4038 0.0908
42 Dy 0.8890 0.9851 0.7981
43 Dy 0.9038 0.0149 0.3130
44 Dy 0.9038 0.3890 0.5908
45 Dy 0.9092 0.1110 0.5962
46 Dy 0.9092 0.2981 0.3130
47 Dy 0.9851 0.6870 0.0962
48 Dy 0.9851 0.7981 0.8890
49 Zn 0.1250 0.2500 0.3750
50 Zn 0.1250 0.3750 0.7500
51 Zn 0.2500 0.3750 0.1250
52 Zn 0.2500 0.8750 0.6250
53 Zn 0.3750 0.1250 0.2500
54 Zn 0.3750 0.7500 0.1250
55 Zn 0.6250 0.2500 0.8750
56 Zn 0.6250 0.8750 0.7500
57 Zn 0.7500 0.1250 0.3750
58 Zn 0.7500 0.6250 0.8750
59 Zn 0.8750 0.6250 0.2500
60 Zn 0.8750 0.7500 0.6250
61 O 0.0000 0.0000 0.0000
62 O 0.0000 0.0000 0.5000
63 O 0.0000 0.5000 0.0000
64 O 0.0000 0.5000 0.5000
65 O 0.1250 0.7500 0.8750
66 O 0.1250 0.8750 0.2500
67 O 0.2500 0.1250 0.8750
68 O 0.2500 0.6250 0.3750
69 O 0.3750 0.2500 0.6250
70 O 0.3750 0.6250 0.7500
71 O 0.5000 0.0000 0.0000
72 O 0.5000 0.0000 0.5000
73 O 0.5000 0.5000 0.0000
74 O 0.5000 0.5000 0.5000
75 O 0.6250 0.3750 0.2500
76 O 0.6250 0.7500 0.3750
77 O 0.7500 0.3750 0.6250
78 O 0.7500 0.8750 0.1250
79 O 0.8750 0.1250 0.7500
80 O 0.8750 0.2500 0.1250

Summary:
The formation energy from raw total energies comes out at -1.50 eV/atom. As for the symmetry: Ia-3d, No. 230. Its total energy is -5.691 eV/atom. The value obtained for the mass density is 8.275 g/cm3. For the density of states at the Fermi level, the calculation gives 65.266 states/eV/cell. Its size of the total moment is 0.0 μB/cell.

---

7.
First-principles (GGA-PBE) data for a relaxed structure of Dy4Zn2O, as listed in Alexandria via LeMat-Bulk.

a = 7.8986 Å, b = 7.8986 Å, c = 7.8986 Å
α = 145.37°, β = 145.37°, γ = 49.78°
Positions (direct):
1 Dy 0.0000 0.5000 0.5000
2 Dy 0.1819 0.1819 0.0000
3 Dy 0.5000 0.0000 0.5000
4 Dy 0.8181 0.8181 0.0000
5 Zn 0.3769 0.3769 0.0000
6 Zn 0.6231 0.6231 0.0000
7 O 0.0000 0.0000 0.0000

Summary:
The formation energy from raw total energies comes out at -0.97 eV/atom. As for the symmetry: I4/mmm, No. 139. Its total energy is -4.672 eV/atom. The value obtained for the mass density is 8.355 g/cm3. For the density of states at the Fermi level, the calculation gives 1.056 states/eV/cell. Its size of the total moment is 0.0 μB/cell.

---

8.
First-principles (GGA-PBE) data for a relaxed structure of DyZnO3, as listed in Alexandria via LeMat-Bulk.

a = 6.2655 Å, b = 6.2655 Å, c = 6.2655 Å
α = 52.89°, β = 52.89°, γ = 52.89°
Positions (direct):
1 Dy 0.0000 0.0000 0.0000
2 Dy 0.5000 0.5000 0.5000
3 Zn 0.2500 0.2500 0.2500
4 Zn 0.7500 0.7500 0.7500
5 O 0.0885 0.7500 0.4115
6 O 0.2500 0.5885 0.9115
7 O 0.4115 0.0885 0.7500
8 O 0.5885 0.9115 0.2500
9 O 0.7500 0.4115 0.0885
10 O 0.9115 0.2500 0.5885

Summary:
The formation energy from raw total energies comes out at -2.07 eV/atom. As for the symmetry: R-3c, No. 167. Its total energy is -6.222 eV/atom. The value obtained for the mass density is 6.323 g/cm3. For the density of states at the Fermi level, the calculation gives 10.124 states/eV/cell. Its size of the total moment is 2.0 μB/cell.